Entry 1:
VASP calculation (GGA-PBE) on a geometry-optimized CaNbAs2 structure.

Cell: 7.2675 7.2675 7.2675 Å, 30.17 30.17 30.17°
Last column: nearest neighbours and their distance in Å.
Element x y z (fractional)
Ca 0.0000 0.0000 0.0000  6 As 2.91
Nb 0.5000 0.5000 0.5000  6 As 2.67
As 0.2406 0.2406 0.2406  3 Nb 2.67, 3 Ca 2.91
As 0.7594 0.7594 0.7594  3 Nb 2.67, 3 Ca 2.91

formation energy from the elements = -0.790 eV per atom
excess energy over the best structure of this formula in the dataset = 0.0 meV per atom
space-group type = R-3m (166)
total moment = 0.001 μB/f.u.

***

Entry 2:
VASP calculation (GGA-PBE) on a geometry-optimized CaNbAs2 structure.

Cell: 4.8242 4.8242 4.8242 Å, 60.00 60.00 60.00°
Last column: nearest neighbours and their distance in Å.
Element x y z (fractional)
Ca 0.0000 0.0000 0.0000  8 As 2.95
Nb 0.5000 0.5000 0.5000  8 As 2.95
As 0.2500 0.2500 0.2500  4 Nb 2.95, 4 Ca 2.95
As 0.7500 0.7500 0.7500  4 Nb 2.95, 4 Ca 2.95

formation energy from the elements = -0.406 eV per atom
excess energy over the best structure of this formula in the dataset = 383.9 meV per atom
space-group type = Fm-3m (225)
total moment = 1.623 μB/f.u.

***

Entry 3:
VASP calculation (GGA-PBE) on a geometry-optimized CaNb2As structure.

Cell: 10.4202 10.4202 10.4202 Å, 155.92 155.92 34.32°
Last column: nearest neighbours and their distance in Å.
Element x y z (fractional)
Ca 0.0000 0.0000 0.0000  4 As 3.07, 4 Nb 3.17
Ca 0.7500 0.2500 0.5000  4 As 3.07, 4 Nb 3.17
Nb 0.2494 0.6250 0.1244  2 Nb 2.43
Nb 0.3750 0.4994 0.6244  2 Nb 2.43
Nb 0.5006 0.1250 0.8756  2 Nb 2.43
Nb 0.8750 0.7506 0.3756  2 Nb 2.43
As 0.2500 0.7500 0.5000  4 Nb 2.77, 4 Ca 3.07
As 0.5000 0.5000 0.0000  4 Nb 2.77, 4 Ca 3.07

formation energy from the elements = 0.291 eV per atom
space-group type = I-42d (122)
total moment = 0.000 μB/f.u.

***

Entry 4:
VASP calculation (GGA-PBE) on a geometry-optimized CaNbAs3 structure.

Cell: 5.0409 5.0409 5.0409 Å, 90.00 90.00 90.00°
Last column: nearest neighbours and their distance in Å.
Element x y z (fractional)
Ca 0.0000 0.0000 0.0000  12 As 3.56
Nb 0.5000 0.5000 0.5000  6 As 2.52
As 0.0000 0.5000 0.5000  2 Nb 2.52
As 0.5000 0.0000 0.5000  2 Nb 2.52
As 0.5000 0.5000 0.0000  2 Nb 2.52

formation energy from the elements = -0.299 eV per atom
excess energy over the best structure of this formula in the dataset = 0.0 meV per atom
space-group type = Pm-3m (221)
total moment = 0.000 μB/f.u.